This record from Alexandria describes a relaxed structure of Dy4Tm3Ru4. The functional is PBE.

Values from the calculation:
DFT formation energy ... -0.338 eV per atom
Density of states at the Fermi level ... 11.42 states/eV per cell
Calculated total energy ... -6.604 eV per atom

Unit cell a=3.4839 b=8.7985 c=16.3108 alpha=90.00 beta=90.00 gamma=90.00
Space group Immm (No. 71)
One atom of each set of equivalent atoms:
Dy (0.0000, 0.1915, 0.1642)
Tm (0.0000, 0.0000, 0.4039)
Tm (0.0000, 0.5000, 0.5000)
Ru (0.0000, 0.2772, 0.0000)
Ru (0.0000, 0.5000, 0.2394)


This record from Alexandria describes a relaxed structure of Ag5PdCl8. The functional is PBE.

Values from the calculation:
E above lowest polymorph ... 39.6 meV per atom
Density of states at the Fermi level ... 61.30 states/eV per cell
Calculated total energy ... -2.795 eV per atom
Formation energy from raw total energies ... -0.350 eV per atom

Unit cell a=11.0922 b=11.0922 c=11.0922 alpha=90.00 beta=90.00 gamma=90.00
Space group F-43m (No. 216)
One atom of each set of equivalent atoms:
Ag (0.0000, 0.0000, 0.0000)
Ag (0.1238, 0.1238, 0.3762)
Pd (0.2500, 0.2500, 0.7500)
Cl (0.1232, 0.1232, 0.6232)
Cl (0.1323, 0.1323, 0.1323)


This record from Alexandria describes a relaxed structure of Tl2VOsPb. The functional is PBE.

Values from the calculation:
DFT formation energy ... 1.599 eV per atom
Density of states at the Fermi level ... 5.71 states/eV per cell
Calculated total energy ... -4.159 eV per atom

Unit cell a=5.2843 b=5.2843 c=5.2728 alpha=90.00 beta=90.00 gamma=90.00
Space group P4/mmm (No. 123)
One atom of each set of equivalent atoms:
Tl (0.0000, 0.5000, 0.0000)
V (0.0000, 0.0000, 0.0000)
Os (0.5000, 0.5000, 0.5000)
Pb (0.0000, 0.0000, 0.5000)